This record from the Alexandria database describes SrLa2V after structural relaxation. The functional is PBE.

Structure (POSCAR):
```
SrLa2V
1.0
-2.893 -4.843 -7.061
-5.337 -4.808 5.484
-6.681 -2.555 -1.295
La V Sr
4 2 2
Direct
0.185 0.625 0.250
0.565 0.125 0.250
0.375 0.435 0.750
0.875 0.815 0.750
0.250 0.750 0.500
0.500 0.500 0.000
0.750 0.250 0.500
0.000 0.000 0.000
```

Properties
ΔE_f: 588.5 meV per atom
size of the total moment: 7.37 μB per cell
symmetry: No. 122